No. 1
The following is a PBE calculation of a relaxed structure of PaMnBeTc, from Alexandria via LeMat-Bulk.

Lattice parameters (Å, degrees): 6.2326 6.2326 6.2326 90.00 90.00 90.00
Space group F-43m (No. 216)
Symmetry-distinct sites (fractional):
Pa 0.0000 0.0000 0.0000 (multiplicity 4)
Mn 0.2500 0.2500 0.7500 (multiplicity 4)
Be 0.0000 0.0000 0.5000 (multiplicity 4)
Tc 0.2500 0.2500 0.2500 (multiplicity 4)

Summary:
ΔH_f (0 K), meV per atom: 12

***

No. 2
The following is a PBE calculation of a relaxed structure of MnBePb, from Alexandria via LeMat-Bulk.

Lattice parameters (Å, degrees): 6.1272 6.1272 6.1272 90.00 90.00 90.00
Space group F-43m (No. 216)
Symmetry-distinct sites (fractional):
Mn 0.0000 0.0000 0.0000 (multiplicity 4)
Be 0.2500 0.2500 0.7500 (multiplicity 4)
Pb 0.2500 0.2500 0.2500 (multiplicity 4)

Summary:
ΔH_f (0 K), meV per atom: 666
Energy above the most stable polymorph in this dataset, eV per formula unit: 0.471

***

No. 3
The following is a PBE calculation of a relaxed structure of Mn2Be2Pb, from Alexandria via LeMat-Bulk.

Lattice parameters (Å, degrees): 6.6664 6.6664 2.9493 90.00 90.00 90.00
Space group P4/mbm (No. 127)
Symmetry-distinct sites (fractional):
Mn 0.1166 0.3834 0.0000 (multiplicity 4)
Be 0.1633 0.6633 0.5000 (multiplicity 4)
Pb 0.0000 0.0000 0.0000 (multiplicity 2)

Summary:
ΔH_f (0 K), meV per atom: 524
Energy above the most stable polymorph in this dataset, eV per formula unit: 0.000

***

No. 4
The following is a PBE calculation of a relaxed structure of MnBePb2, from Alexandria via LeMat-Bulk.

Lattice parameters (Å, degrees): 7.4690 7.4690 6.4101 90.00 90.00 90.00
Space group I-42d (No. 122)
Symmetry-distinct sites (fractional):
Mn 0.0000 0.0000 0.0000 (multiplicity 4)
Be 0.0000 0.0000 0.5000 (multiplicity 4)
Pb 0.2146 0.2500 0.6250 (multiplicity 8)

Summary:
ΔH_f (0 K), meV per atom: 690

***

No. 5
The following is a PBE calculation of a relaxed structure of MnBe2Pb2, from Alexandria via LeMat-Bulk.

Lattice parameters (Å, degrees): 7.0737 7.0737 3.6380 90.00 90.00 90.00
Space group P4/mbm (No. 127)
Symmetry-distinct sites (fractional):
Mn 0.0000 0.0000 0.0000 (multiplicity 2)
Be 0.1166 0.3834 0.5000 (multiplicity 4)
Pb 0.1756 0.6756 0.0000 (multiplicity 4)

Summary:
ΔH_f (0 K), meV per atom: 1033
Energy above the most stable polymorph in this dataset, eV per formula unit: 0.965

***

No. 6
The following is a PBE calculation of a relaxed structure of MnBePb2, from Alexandria via LeMat-Bulk.

Lattice parameters (Å, degrees): 3.5237 3.5237 24.0692 90.00 90.00 120.00
Space group R-3m (No. 166, hexagonal axes)
Symmetry-distinct sites (fractional):
Mn 0.0000 0.0000 0.0000 (multiplicity 3)
Be 0.0000 0.0000 0.5000 (multiplicity 3)
Pb 0.0000 0.0000 0.2418 (multiplicity 6)

Summary:
ΔH_f (0 K), meV per atom: 621

***

No. 7
The following is a PBE calculation of a relaxed structure of MnBe3Pb, from Alexandria via LeMat-Bulk.

Lattice parameters (Å, degrees): 4.2536 4.2536 4.2536 90.00 90.00 90.00
Space group Pm-3m (No. 221)
Symmetry-distinct sites (fractional):
Mn 0.0000 0.0000 0.0000 (multiplicity 1)
Be 0.0000 0.0000 0.5000 (multiplicity 3)
Pb 0.5000 0.5000 0.5000 (multiplicity 1)

Summary:
ΔH_f (0 K), meV per atom: 878
Energy above the most stable polymorph in this dataset, eV per formula unit: 0.000

***

No. 8
The following is a PBE calculation of a relaxed structure of MnBe2Pb2, from Alexandria via LeMat-Bulk.

Lattice parameters (Å, degrees): 3.1222 3.1222 18.3973 90.00 90.00 90.00
Space group I4/mmm (No. 139)
Symmetry-distinct sites (fractional):
Mn 0.0000 0.0000 0.0000 (multiplicity 2)
Be 0.0000 0.5000 0.2500 (multiplicity 4)
Pb 0.0000 0.0000 0.4021 (multiplicity 4)

Summary:
ΔH_f (0 K), meV per atom: 840
Energy above the most stable polymorph in this dataset, eV per formula unit: 0.000

***

No. 9
The following is a PBE calculation of a relaxed structure of MnBePb2, from Alexandria via LeMat-Bulk.

Lattice parameters (Å, degrees): 7.1651 7.1651 7.1651 90.00 90.00 90.00
Space group F-43m (No. 216)
Symmetry-distinct sites (fractional):
Mn 0.0000 0.0000 0.0000 (multiplicity 4)
Be 0.2500 0.2500 0.7500 (multiplicity 4)
Pb 0.0000 0.0000 0.5000 (multiplicity 4)
Pb 0.2500 0.2500 0.2500 (multiplicity 4)

Summary:
ΔH_f (0 K), meV per atom: 823

***

No. 10
The following is a PBE calculation of a relaxed structure of MnBe2Pb, from Alexandria via LeMat-Bulk.

Lattice parameters (Å, degrees): 2.9709 3.0037 6.6682 90.00 90.00 90.00
Space group Pmmm (No. 47)
Symmetry-distinct sites (fractional):
Mn 0.0000 0.0000 0.0000 (multiplicity 1)
Be 0.5000 0.5000 0.1533 (multiplicity 2)
Pb 0.0000 0.0000 0.5000 (multiplicity 1)

Summary:
ΔH_f (0 K), meV per atom: 436

***

No. 11
The following is a PBE calculation of a relaxed structure of MnBePb, from Alexandria via LeMat-Bulk.

Lattice parameters (Å, degrees): 3.1204 3.1773 10.1416 90.00 90.00 90.00
Space group Imm2 (No. 44)
Symmetry-distinct sites (fractional):
Mn 0.0000 0.0000 0.0000 (multiplicity 2)
Be 0.0000 0.0000 0.5725 (multiplicity 2)
Pb 0.0000 0.0000 0.2947 (multiplicity 2)

Summary:
ΔH_f (0 K), meV per atom: 509
Energy above the most stable polymorph in this dataset, eV per formula unit: 0.000

***

No. 12
The following is a PBE calculation of a relaxed structure of MnBePb2, from Alexandria via LeMat-Bulk.

Lattice parameters (Å, degrees): 4.1642 5.0954 8.1098 90.00 90.00 90.00
Space group Immm (No. 71)
Symmetry-distinct sites (fractional):
Mn 0.0000 0.0000 0.0000 (multiplicity 2)
Be 0.0000 0.0000 0.5000 (multiplicity 2)
Pb 0.0000 0.5000 0.2364 (multiplicity 4)

Summary:
ΔH_f (0 K), meV per atom: 672